Material: RbRhI2
Method: DFT, GGA-PBE
State: optimized geometry

- volume (Å³/atom) = 44.3
- formation energy (no corrections) (kcal/mol of atoms) = -8.71
- energy relative to the lowest polymorph listed for this composition (meV per atom) = 0
- electronic total energy (eV/cell) = -51.72

a b c (Å): 7.2136 7.2136 13.6301
angles (deg): 90.00 90.00 90.00
Last column: nearest neighbours and their distance in Å.
Space group I-42d (No. 122)
Inequivalent atoms, fractional coordinates:
Rb  0.0000  0.0000  0.0000 [4 per cell]  4 I 3.65
Rh  0.0000  0.0000  0.5000 [4 per cell]  4 I 2.65
I  0.1289  0.2500  0.6250 [8 per cell]  2 Rh 2.65

Material: Rb2RhI
Method: DFT, GGA-PBE
State: optimized geometry

- volume (Å³/atom) = 39.2
- formation energy (no corrections) (kcal/mol of atoms) = 3.46
- energy relative to the lowest polymorph listed for this composition (meV per atom) = 0
- electronic total energy (eV/cell) = -40.94

a b c (Å): 8.5578 8.5578 8.5578
angles (deg): 90.00 90.00 90.00
Last column: nearest neighbours and their distance in Å.
Space group Fm-3m (No. 225)
Inequivalent atoms, fractional coordinates:
Rb  0.2500  0.2500  0.2500 [8 per cell]  4 Rh 3.71, 4 I 3.71
Rh  0.0000  0.0000  0.0000 [4 per cell]  8 Rb 3.71
I  0.0000  0.0000  0.5000 [4 per cell]  8 Rb 3.71

Material: Rb3RhI8
Method: DFT, GGA-PBE
State: optimized geometry

- volume (Å³/atom) = 45.0
- formation energy (no corrections) (kcal/mol of atoms) = -11.93
- electronic total energy (eV/cell) = -57.73

a b c (Å): 9.1208 9.1208 12.9829
angles (deg): 90.00 90.00 90.00
Last column: nearest neighbours and their distance in Å.
Space group I4/mmm (No. 139)
Inequivalent atoms, fractional coordinates:
Rb  0.0000  0.0000  0.0000 [2 per cell]  8 I 4.07
Rb  0.0000  0.5000  0.2500 [4 per cell]  8 I 3.63
Rh  0.0000  0.0000  0.5000 [2 per cell]  8 I 3.18
I  0.2112  0.2112  0.3733 [16 per cell]  1 Rh 3.18, 2 I 3.29-3.35

Material: RbRhI2
Method: DFT, GGA-PBE
State: optimized geometry

- volume (Å³/atom) = 39.0
- formation energy (no corrections) (kcal/mol of atoms) = -3.35
- energy relative to the lowest polymorph listed for this composition (meV per atom) = 233
- electronic total energy (eV/cell) = -36.00

a b c (Å): 4.2794 4.2794 29.4850
angles (deg): 90.00 90.00 120.00
Last column: nearest neighbours and their distance in Å.
Space group R-3m (No. 166, hexagonal axes)
Inequivalent atoms, fractional coordinates:
Rb  0.0000  0.0000  0.0000 [3 per cell]  2 I 3.49
Rh  0.0000  0.0000  0.5000 [3 per cell]  6 I 2.85
I  0.0000  0.0000  0.1185 [6 per cell]  3 Rh 2.85

Material: RbRh3I
Method: DFT, GGA-PBE
State: optimized geometry

- volume (Å³/atom) = 25.9
- formation energy (no corrections) (kcal/mol of atoms) = 49.37
- energy relative to the lowest polymorph listed for this composition (meV per atom) = 1302
- electronic total energy (eV/cell) = -13.87

a b c (Å): 5.0597 5.0597 5.0597
angles (deg): 90.00 90.00 90.00
Last column: nearest neighbours and their distance in Å.
Space group Pm-3m (No. 221)
Inequivalent atoms, fractional coordinates:
Rb  0.0000  0.0000  0.0000 [1 per cell]  6 Rh 2.53
Rh  0.0000  0.0000  0.5000 [3 per cell]  2 Rb 2.53
I  0.5000  0.5000  0.5000 [1 per cell]  12 Rh 3.58

Material: Rb2RhI
Method: DFT, GGA-PBE
State: optimized geometry

- volume (Å³/atom) = 62.6
- formation energy (no corrections) (kcal/mol of atoms) = 5.64
- energy relative to the lowest polymorph listed for this composition (meV per atom) = 94
- electronic total energy (eV/cell) = -39.43

a b c (Å): 7.0957 7.0957 19.8866
angles (deg): 90.00 90.00 90.00
Last column: nearest neighbours and their distance in Å.
Space group I-42d (No. 122)
Inequivalent atoms, fractional coordinates:
Rb  0.2300  0.2500  0.1250 [8 per cell]  2 Rh 3.46, 2 I 3.61
Rh  0.0000  0.0000  0.0000 [4 per cell]  4 Rb 3.46
I  0.0000  0.0000  0.5000 [4 per cell]  4 Rb 3.61

Material: Rb2RhI4
Method: DFT, GGA-PBE
State: optimized geometry

- volume (Å³/atom) = 40.7
- formation energy (no corrections) (kcal/mol of atoms) = -19.52
- electronic total energy (eV/cell) = -42.83

a b c (Å): 5.6347 5.6347 17.9394
angles (deg): 90.00 90.00 90.00
Last column: nearest neighbours and their distance in Å.
Space group I4/mmm (No. 139)
Inequivalent atoms, fractional coordinates:
Rb  0.0000  0.0000  0.1384 [4 per cell]  9 I 3.76-3.99
Rh  0.0000  0.0000  0.5000 [2 per cell]  6 I 2.72-2.82
I  0.0000  0.0000  0.3482 [4 per cell]  1 Rh 2.72
I  0.0000  0.5000  0.0000 [4 per cell]  2 Rh 2.82

Material: RbRu2RhI
Method: DFT, GGA-PBE
State: optimized geometry

- volume (Å³/atom) = 25.2
- formation energy (no corrections) (kcal/mol of atoms) = 32.12
- energy relative to the lowest polymorph listed for this composition (meV per atom) = 0
- electronic total energy (eV/cell) = -21.46

a b c (Å): 5.0046 5.0046 5.0373
angles (deg): 90.00 90.00 90.00
Last column: nearest neighbours and their distance in Å.
Space group P4/mmm (No. 123)
Inequivalent atoms, fractional coordinates:
Rb  0.0000  0.0000  0.0000 [1 per cell]  4 Rh 3.54, 8 Ru 3.55
Ru  0.0000  0.5000  0.5000 [2 per cell]  2 I 2.50
Rh  0.5000  0.5000  0.0000 [1 per cell]  2 I 2.52
I  0.5000  0.5000  0.5000 [1 per cell]  4 Ru 2.50, 2 Rh 2.52

Material: Rb2RuRhI6
Method: DFT, GGA-PBE
State: optimized geometry

- volume (Å³/atom) = 35.2
- formation energy (no corrections) (kcal/mol of atoms) = -10.02
- electronic total energy (eV/cell) = -64.42

a b c (Å): 7.9356 7.9356 11.1942
angles (deg): 90.00 90.00 90.00
Last column: nearest neighbours and their distance in Å.
Space group I4/mmm (No. 139)
Inequivalent atoms, fractional coordinates:
Rb  0.0000  0.5000  0.2500 [4 per cell]  12 I 3.96-3.97
Ru  0.0000  0.0000  0.0000 [2 per cell]  6 I 2.80-2.81
Rh  0.0000  0.0000  0.5000 [2 per cell]  6 I 2.79-2.80
I  0.0000  0.0000  0.2504 [4 per cell]  1 Rh 2.79, 1 Ru 2.80
I  0.2493  0.2493  0.5000 [8 per cell]  1 Rh 2.80, 1 Ru 2.81

Material: RbRu2RhI
Method: DFT, GGA-PBE
State: optimized geometry

- volume (Å³/atom) = 26.1
- formation energy (no corrections) (kcal/mol of atoms) = 61.50
- energy relative to the lowest polymorph listed for this composition (meV per atom) = 1274
- electronic total energy (eV/cell) = -15.09

a b c (Å): 5.0913 5.0913 5.0250
angles (deg): 90.00 90.00 90.00
Last column: nearest neighbours and their distance in Å.
Space group P4/mmm (No. 123)
Inequivalent atoms, fractional coordinates:
Rb  0.0000  0.0000  0.0000 [1 per cell]  2 Rh 2.51, 4 Ru 2.55
Ru  0.0000  0.5000  0.0000 [2 per cell]  2 Rb 2.55
Rh  0.0000  0.0000  0.5000 [1 per cell]  2 Rb 2.51
I  0.5000  0.5000  0.5000 [1 per cell]  8 Ru 3.58, 4 Rh 3.60

Material: RbSbRh2I
Method: DFT, GGA-PBE
State: optimized geometry

- volume (Å³/atom) = 35.8
- formation energy (no corrections) (kcal/mol of atoms) = 8.75
- electronic total energy (eV/cell) = -19.44

a b c (Å): 4.9579 4.9579 7.2831
angles (deg): 90.00 90.00 90.00
Last column: nearest neighbours and their distance in Å.
Space group P4/mmm (No. 123)
Inequivalent atoms, fractional coordinates:
Rb  0.0000  0.0000  0.0000 [1 per cell]  4 I 3.51, 2 Sb 3.64
Sb  0.0000  0.0000  0.5000 [1 per cell]  4 Rh 2.48
Rh  0.0000  0.5000  0.5000 [2 per cell]  2 Sb 2.48
I  0.5000  0.5000  0.0000 [1 per cell]  4 Rb 3.51

Material: Rb2ScRhI6
Method: DFT, GGA-PBE
State: optimized geometry

- volume (Å³/atom) = 38.9
- formation energy (no corrections) (kcal/mol of atoms) = -21.53
- electronic total energy (eV/cell) = -68.51

a b c (Å): 8.1946 8.1946 11.5810
angles (deg): 90.00 90.00 90.00
Last column: nearest neighbours and their distance in Å.
Space group I4/mmm (No. 139)
Inequivalent atoms, fractional coordinates:
Rb  0.0000  0.5000  0.2500 [4 per cell]  12 I 4.10
Sc  0.0000  0.0000  0.0000 [2 per cell]  6 I 2.91
Rh  0.0000  0.0000  0.5000 [2 per cell]  6 I 2.88
I  0.0000  0.0000  0.2516 [4 per cell]  1 Rh 2.88, 1 Sc 2.91
I  0.2486  0.2486  0.5000 [8 per cell]  1 Rh 2.88, 1 Sc 2.91

Per-record ρ, g/cm3: 4.1 4.2 4.2 4.7 6.7 2.7 4.6 6.8 5.4 6.6 5.0 4.6